(1)
Crystalline Ta3SiIr at its relaxed geometry. Source: Alexandria, functional GGA-PBEsol.

Values from the calculation:
- formation energy (no corrections) (eV per atom) = 1.227
- total magnetic moment (μB/cell) = 0.000

Lattice parameters (Å, degrees): 4.7799 4.7799 4.7799 90.00 90.00 90.00
Closest atoms and distances in Å follow each position.
Sites, in units of the cell vectors:
Ta: 0.0000 0.0000 0.5000  2 Ir 2.39
Ta: 0.0000 0.5000 0.0000  2 Ir 2.39
Ta: 0.5000 0.0000 0.0000  2 Ir 2.39
Si: 0.5000 0.5000 0.5000  12 Ta 3.38
Ir: 0.0000 0.0000 0.0000  6 Ta 2.39



(2)
Crystalline Ba2BeMo at its relaxed geometry. Source: Alexandria, functional GGA-PBEsol.

Values from the calculation:
- energy relative to the elements (kcal/mol of atoms) = 31.92
- total magnetic moment (μB/cell) = 1.447

Lattice parameters (Å, degrees): 3.5569 3.5569 10.2356 100.03 100.03 60.12
Closest atoms and distances in Å follow each position.
Sites, in units of the cell vectors:
Ba: 0.2492 0.2492 0.2477  3 Mo 3.22, 3 Be 3.26, 6 Ba 3.56
Ba: 0.7508 0.7508 0.7523  3 Mo 3.22, 3 Be 3.26, 6 Ba 3.56
Be: 0.0000 0.0000 0.5000  6 Ba 3.26, 6 Be 3.56
Mo: 0.5000 0.5000 0.0000  6 Ba 3.22, 6 Mo 3.56



(3)
Crystalline HgRuBr2 at its relaxed geometry. Source: Alexandria, functional GGA-PBEsol.

Values from the calculation:
- formation energy (no corrections) (eV per atom) = 0.174
- relative energy among the computed polymorphs (kcal/mol of atoms) = 3.49
- total magnetic moment (μB/cell) = 0.000

Lattice parameters (Å, degrees): 3.0359 3.5959 8.9936 90.00 90.18 90.00
Closest atoms and distances in Å follow each position.
Sites, in units of the cell vectors:
Hg: 0.0000 0.0000 0.0000  2 Hg 3.04
Ru: 0.5000 0.0000 0.5000  4 Br 2.42
Br: 0.4983 0.5000 0.3193  2 Ru 2.42
Br: 0.5017 0.5000 0.6807  2 Ru 2.42



(4)
Crystalline NaMnPS2 at its relaxed geometry. Source: Alexandria, functional GGA-PBEsol.

Values from the calculation:
- formation energy (no corrections) (eV per atom) = 1.195
- total magnetic moment (μB/cell) = 4.458

Lattice parameters (Å, degrees): 4.7730 4.7730 4.6654 90.00 90.00 90.00
Closest atoms and distances in Å follow each position.
Sites, in units of the cell vectors:
Na: 0.0000 0.0000 0.0000  2 P 2.33, 4 S 2.39
Mn: 0.5000 0.5000 0.5000  8 S 3.34, 4 P 3.38
P: 0.0000 0.0000 0.5000  2 Na 2.33
S: 0.0000 0.5000 0.0000  2 Na 2.39
S: 0.5000 0.0000 0.0000  2 Na 2.39



(5)
Crystalline La2SiSeO4 at its relaxed geometry. Source: Alexandria, functional GGA-PBEsol.

Values from the calculation:
- formation energy (no corrections) (eV per atom) = -3.081
- total magnetic moment (μB/cell) = 0.000

Lattice parameters (Å, degrees): 6.2609 7.2741 11.1203 90.00 90.00 90.00
Closest atoms and distances in Å follow each position.
Sites, in units of the cell vectors:
La: 0.1066 0.2500 0.0000  6 O 2.49-2.53
La: 0.1066 0.2500 0.5000  6 O 2.49-2.53
La: 0.3739 0.5370 0.2500  6 O 2.49-2.59
La: 0.3739 0.9630 0.7500  6 O 2.49-2.59
La: 0.6261 0.0370 0.2500  6 O 2.49-2.59
La: 0.6261 0.4630 0.7500  6 O 2.49-2.59
La: 0.8934 0.7500 0.0000  6 O 2.49-2.53
La: 0.8934 0.7500 0.5000  6 O 2.49-2.53
Si: 0.3884 0.7500 0.0000  4 O 1.64-1.65
Si: 0.3884 0.7500 0.5000  4 O 1.64-1.65
Si: 0.6116 0.2500 0.0000  4 O 1.64-1.65
Si: 0.6116 0.2500 0.5000  4 O 1.64-1.65
Se: 0.0826 0.6020 0.7500  4 La 3.03-3.21, 4 O 3.29-3.37
Se: 0.0826 0.8980 0.2500  4 La 3.03-3.21, 4 O 3.29-3.37
Se: 0.9174 0.1020 0.7500  4 La 3.03-3.21, 4 O 3.29-3.37
Se: 0.9174 0.3980 0.2500  4 La 3.03-3.21, 4 O 3.29-3.37
O: 0.2317 0.5763 0.0332  1 Si 1.64
O: 0.2317 0.5763 0.4668  1 Si 1.64
O: 0.2317 0.9237 0.5332  1 Si 1.64
O: 0.2317 0.9237 0.9668  1 Si 1.64
O: 0.4506 0.2327 0.6170  1 Si 1.65
O: 0.4506 0.2327 0.8830  1 Si 1.65
O: 0.4506 0.2673 0.1170  1 Si 1.65
O: 0.4506 0.2673 0.3830  1 Si 1.65
O: 0.5494 0.7327 0.6170  1 Si 1.65
O: 0.5494 0.7327 0.8830  1 Si 1.65
O: 0.5494 0.7673 0.1170  1 Si 1.65
O: 0.5494 0.7673 0.3830  1 Si 1.65
O: 0.7683 0.0763 0.0332  1 Si 1.64
O: 0.7683 0.0763 0.4668  1 Si 1.64
O: 0.7683 0.4237 0.5332  1 Si 1.64
O: 0.7683 0.4237 0.9668  1 Si 1.64



(6)
Crystalline SrCaTa2 at its relaxed geometry. Source: Alexandria, functional GGA-PBEsol.

Values from the calculation:
- relative energy among the computed polymorphs (kcal/mol of atoms) = 0.00
- energy relative to the elements (kcal/mol of atoms) = 17.72
- total magnetic moment (μB/cell) = 0.007

Lattice parameters (Å, degrees): 3.0425 3.0425 10.8291 90.00 90.00 90.00
Closest atoms and distances in Å follow each position.
Sites, in units of the cell vectors:
Sr: 0.0000 0.0000 0.0000  4 Sr 3.04
Ca: 0.5000 0.5000 0.6802  4 Ca 3.04, 4 Ta 3.37
Ta: 0.0000 0.0000 0.4404  8 Ta 2.94-3.04
Ta: 0.5000 0.5000 0.2558  8 Ta 2.94-3.04



(7)
Crystalline CaHfS3 at its relaxed geometry. Source: Alexandria, functional GGA-PBEsol.

Values from the calculation:
- formation energy (no corrections) (eV per atom) = -1.818
- total magnetic moment (μB/cell) = 0.000

Lattice parameters (Å, degrees): 6.9467 9.4589 6.4415 90.00 90.00 90.00
Closest atoms and distances in Å follow each position.
Sites, in units of the cell vectors:
Ca: 0.0948 0.2500 0.0340  6 S 2.79-2.97
Ca: 0.4052 0.7500 0.5340  6 S 2.79-2.97
Ca: 0.5948 0.2500 0.4660  6 S 2.79-2.97
Ca: 0.9052 0.7500 0.9660  6 S 2.79-2.97
Hf: 0.0000 0.0000 0.5000  6 S 2.50-2.52
Hf: 0.0000 0.5000 0.5000  6 S 2.50-2.52
Hf: 0.5000 0.0000 0.0000  6 S 2.50-2.52
Hf: 0.5000 0.5000 0.0000  6 S 2.50-2.52
S: 0.0308 0.7500 0.3773  2 Hf 2.50, 2 Ca 2.79
S: 0.1894 0.5617 0.8190  2 Hf 2.51-2.52
S: 0.1894 0.9383 0.8190  2 Hf 2.51-2.52
S: 0.3106 0.0617 0.3190  2 Hf 2.51-2.52
S: 0.3106 0.4383 0.3190  2 Hf 2.51-2.52
S: 0.4692 0.2500 0.8773  2 Hf 2.50, 2 Ca 2.79
S: 0.5308 0.7500 0.1227  2 Hf 2.50, 2 Ca 2.79
S: 0.6894 0.5617 0.6810  2 Hf 2.51-2.52
S: 0.6894 0.9383 0.6810  2 Hf 2.51-2.52
S: 0.8106 0.0617 0.1810  2 Hf 2.51-2.52
S: 0.8106 0.4383 0.1810  2 Hf 2.51-2.52
S: 0.9692 0.2500 0.6227  2 Hf 2.50, 2 Ca 2.79



(8)
Crystalline CoSi3 at its relaxed geometry. Source: Alexandria, functional GGA-PBEsol.

Values from the calculation:
- formation energy (no corrections) (eV per atom) = -0.118
- total magnetic moment (μB/cell) = 0.001

Lattice parameters (Å, degrees): 2.6672 2.6672 6.8144 90.00 90.00 90.00
Closest atoms and distances in Å follow each position.
Sites, in units of the cell vectors:
Co: 0.0000 0.0000 0.0000  8 Si 2.39, 4 Co 2.67
Si: 0.0000 0.0000 0.5000  12 Si 2.67-2.71
Si: 0.5000 0.5000 0.2154  4 Co 2.39, 4 Si 2.67
Si: 0.5000 0.5000 0.7846  4 Co 2.39, 4 Si 2.67



(9)
Crystalline AsSeCl2 at its relaxed geometry. Source: Alexandria, functional GGA-PBEsol.

Values from the calculation:
- formation energy (no corrections) (eV per atom) = -0.165
- relative energy among the computed polymorphs (kcal/mol of atoms) = 0.42
- total magnetic moment (μB/cell) = 0.031

Lattice parameters (Å, degrees): 6.7881 6.7881 3.3354 90.00 90.00 135.38
Closest atoms and distances in Å follow each position.
Sites, in units of the cell vectors:
As: 0.0000 0.0000 0.0000  4 Cl 2.46, 2 Se 2.58
Se: 0.5000 0.5000 0.0000  2 As 2.58
Cl: 0.1443 0.8557 0.5000  2 As 2.46
Cl: 0.8557 0.1443 0.5000  2 As 2.46



(10)
Crystalline Ca2IrPtO6 at its relaxed geometry. Source: Alexandria, functional GGA-PBEsol.

Values from the calculation:
- formation energy (no corrections) (eV per atom) = -1.675
- total magnetic moment (μB/cell) = 0.684

Lattice parameters (Å, degrees): 5.1291 5.1291 7.2998 90.13 90.13 35.97
Closest atoms and distances in Å follow each position.
Sites, in units of the cell vectors:
Ca: 0.2485 0.2485 0.2537  8 O 2.29-2.50
Ca: 0.7515 0.7515 0.7463  8 O 2.29-2.50
Ir: 0.0000 0.0000 0.5000  6 O 1.98-2.03
Pt: 0.0000 0.0000 0.0000  6 O 2.01-2.05
O: 0.0823 0.0823 0.7477  1 Ir 1.98, 1 Pt 2.01
O: 0.3707 0.3707 0.9553  2 Pt 2.05
O: 0.3757 0.3757 0.5518  2 Ir 2.03
O: 0.6243 0.6243 0.4482  2 Ir 2.03
O: 0.6293 0.6293 0.0447  2 Pt 2.05
O: 0.9177 0.9177 0.2523  1 Ir 1.98, 1 Pt 2.01



(11)
Crystalline MnNi2Mo at its relaxed geometry. Source: Alexandria, functional GGA-PBEsol.

Values from the calculation:
- relative energy among the computed polymorphs (kcal/mol of atoms) = 1.20
- energy relative to the elements (kcal/mol of atoms) = 0.45
- total magnetic moment (μB/cell) = 2.553

Lattice parameters (Å, degrees): 2.5539 3.6965 4.9928 90.00 90.00 90.00
Closest atoms and distances in Å follow each position.
Sites, in units of the cell vectors:
Mn: 0.0000 0.0000 0.0000  2 Mo 2.50, 2 Mn 2.55, 8 Ni 2.56
Ni: 0.5000 0.5000 0.2440  4 Ni 2.44-2.56, 4 Mn 2.56, 4 Mo 2.58
Ni: 0.5000 0.5000 0.7560  4 Ni 2.44-2.56, 4 Mn 2.56, 4 Mo 2.58
Mo: 0.0000 0.0000 0.5000  2 Mn 2.50, 2 Mo 2.55, 8 Ni 2.58



(12)
Crystalline NbSnI2O at its relaxed geometry. Source: Alexandria, functional GGA-PBEsol.

Values from the calculation:
- formation energy (no corrections) (eV per atom) = 0.381
- total magnetic moment (μB/cell) = 3.828

Lattice parameters (Å, degrees): 5.9122 5.9122 3.9544 90.00 90.00 90.00
Closest atoms and distances in Å follow each position.
Sites, in units of the cell vectors:
Nb: 0.0000 0.0000 0.0000  8 I 3.56, 2 Nb 3.95
Sn: 0.5000 0.5000 0.5000  2 O 1.98
I: 0.0000 0.5000 0.5000  2 Sn 2.96
I: 0.5000 0.0000 0.5000  2 Sn 2.96
O: 0.5000 0.5000 0.0000  2 Sn 1.98